6
Lattice="3.7728 0.0000 0.0000 0.0000 3.7728 0.0000 0.0000 0.0000 11.2535" Properties=species:S:1:pos:R:3 comment="Nd3Hg2Pd | Alexandria | GGA-PBE | optimized geometry" e_above_lowest_polymorph_ev_per_atom=0.000 pbc="T T T"
Hg 1.8864 1.8864 9.3247
Hg 1.8864 1.8864 1.9289
Pd 1.8864 1.8864 5.6268
Nd 0.0000 0.0000 7.3362
Nd 0.0000 0.0000 3.9173
Nd 0.0000 0.0000 0.0000


19
Lattice="8.2059 0.5213 0.6245 -0.7288 8.1900 0.6245 -0.7288 -0.8491 8.1698" Properties=species:S:1:pos:R:3 comment="Nd12Hg6Pd | Alexandria | GGA-PBE | optimized geometry" e_tot_ev_per_atom=-3.6188 pbc="T T T"
Nd 3.2351 4.6988 2.1951
Nd 0.5557 2.9274 0.6756
Nd 3.9390 7.3750 8.3210
Nd 5.9339 4.4644 4.4034
Nd 2.5943 6.4012 5.1794
Nd 2.8094 0.4873 1.0978
Nd 6.6926 7.2916 6.4178
Nd 6.1927 4.9348 8.7432
Nd 0.8144 3.3979 5.0154
Nd 4.1540 1.4611 4.2394
Nd 0.0557 0.5707 3.0010
Nd 3.5132 3.1635 7.2237
Pd 0.0000 0.0000 0.0000
Hg 5.6660 2.5307 1.6122
Hg 6.4864 2.0898 6.6408
Hg 1.6425 0.5169 6.1759
Hg 5.1059 7.3454 3.2429
Hg 1.0823 5.3316 7.8066
Hg 0.2619 5.7724 2.7781


12
Lattice="-0.0077 6.0239 -0.0802 -5.7850 -1.5894 -0.5492 2.1246 -2.1141 8.1446" Properties=species:S:1:pos:R:3 comment="Nd2HgPd3 | Alexandria | GGA-PBE | optimized geometry" e_above_lowest_polymorph_ev_per_atom=0.000 pbc="T T T"
Pd 0.8036 1.9888 6.6165
Pd -4.4717 0.3316 0.8987
Pd -3.4208 2.2874 5.0064
Pd -0.2473 0.0331 2.5088
Pd -1.5833 4.1380 1.1332
Pd -2.0848 -1.8175 6.3819
Nd -3.2784 -0.7431 3.6403
Nd -1.4197 1.0868 -0.1543
Nd -4.3730 3.3477 -0.4751
Nd -0.3897 3.0636 3.8749
Hg -3.1553 2.2519 2.3120
Hg -0.5128 0.0686 5.2031


11
Lattice="-4.9245 -5.1135 -0.4272 6.9922 -1.1050 -0.6850 2.0044 3.1349 6.0610" Properties=species:S:1:pos:R:3 comment="NdHg4Pd6 | Alexandria | GGA-PBE | optimized geometry" e_tot_ev_per_atom=-3.5201 pbc="T T T"
Hg 1.4470 -1.8991 2.2634
Hg 1.7072 1.5761 3.1791
Hg 3.9214 -0.3061 0.1844
Hg 5.9930 -0.4245 4.6979
Pd 6.0604 0.4991 2.0473
Pd 1.0338 -3.1092 -0.5561
Pd -1.0432 -2.9422 1.0779
Pd 4.4459 1.8715 4.2309
Pd 3.6054 -0.4820 2.9687
Pd -1.4601 -0.9893 2.8169
Nd 0.0000 0.0000 0.0000


24
Lattice="8.6457 0.0000 4.9916 2.8819 8.1513 4.9916 0.0000 0.0000 9.9832" Properties=species:S:1:pos:R:3 comment="Nd4HgPd | Alexandria | GGA-PBE | optimized geometry" e_above_lowest_polymorph_ev_per_atom=0.000 pbc="T T T"
Nd 3.9544 6.6345 6.8492
Nd 10.8647 7.6825 14.9748
Nd 5.7638 6.6212 9.9832
Nd 9.3827 6.6345 9.9832
Nd 2.1450 1.5167 9.9832
Nd 7.5732 1.5167 6.8492
Nd 9.7552 4.5444 13.0531
Nd 7.5362 7.6825 16.8965
Nd 9.7552 4.5444 16.8965
Nd 8.1638 3.2271 9.9832
Nd 4.5638 3.2271 12.0617
Nd 4.5638 3.2271 7.9047
Nd 6.4267 4.5444 14.9748
Nd 7.5732 1.5167 13.1172
Nd 3.9544 6.6345 13.1172
Nd 7.5362 7.6825 13.0531
Hg 1.9033 1.3459 6.6865
Hg 1.9033 1.3459 3.2967
Hg 4.8390 1.3459 4.9916
Hg 2.8819 4.1136 4.9916
Pd 3.3330 4.9350 9.9832
Pd 6.9792 4.9350 7.8781
Pd 6.9792 4.9350 12.0883
Pd 5.7638 1.4974 9.9832


4
Lattice="4.2079 0.0000 0.0000 2.1039 3.6441 0.0000 2.1039 1.2147 7.6902" Properties=species:S:1:pos:R:3 comment="Nd2HgPd | Alexandria | GGA-PBE | optimized geometry" e_above_lowest_polymorph_ev_per_atom=0.114 pbc="T T T"
Pd 4.2079 2.4294 0.0238
Nd 2.1039 1.2147 1.6343
Nd 2.1039 1.2147 6.0427
Hg 4.2079 2.4294 3.8343


18
Lattice="8.3220 -0.1146 -2.9636 -4.4992 7.2009 -2.4404 -0.0237 0.1146 8.8339" Properties=species:S:1:pos:R:3 comment="Nd6HgPd2 | Alexandria | GGA-PBE | optimized geometry" e_tot_ev_per_atom=-4.8214 pbc="T T T"
Nd 3.2770 5.4538 0.7695
Nd -0.3265 4.5390 0.4615
Nd 5.6845 0.1405 0.7648
Nd 0.5222 1.7471 2.6604
Nd -0.4173 2.1502 6.2263
Nd 5.6395 1.6325 -2.5702
Nd 1.2092 5.1653 3.9270
Nd -1.8854 7.0604 2.6652
Nd 2.5899 2.0357 -0.4971
Nd 4.2164 5.0507 -2.7963
Nd 4.1256 2.6620 2.9684
Nd -1.8404 5.5684 6.0001
Hg 0.0000 0.0000 0.0000
Hg -2.2614 3.6578 3.1967
Pd 2.8940 0.0000 2.0473
Pd 5.4043 0.0000 3.8231
Pd 2.4754 2.7073 5.3013
Pd 1.3238 4.4936 -1.8713


12
Lattice="5.2936 -0.3389 0.8646 -0.0209 7.0409 2.8872 1.2324 0.3446 9.1975" Properties=species:S:1:pos:R:3 comment="Nd6Hg5Pd | Alexandria | GGA-PBE | optimized geometry" e_tot_ev_per_atom=-3.4513 pbc="T T T"
Nd 2.6419 1.4920 1.1136
Nd 3.8633 5.5547 11.8357
Nd 1.6687 6.6555 9.0475
Nd 4.8256 4.0476 5.4011
Nd 4.8365 0.3912 3.9018
Nd 1.6795 2.9991 7.5482
Hg 2.1645 2.3472 4.3198
Hg 4.3407 4.6994 8.6294
Hg -0.0105 3.5205 1.4436
Hg 2.1203 5.7978 5.9340
Hg 4.3848 1.2489 7.0153
Pd 0.0000 0.0000 0.0000


12
Lattice="-5.2418 4.5301 2.0883 -1.3995 -4.3345 5.8899 5.2668 3.5118 3.8358" Properties=species:S:1:pos:R:3 comment="Nd4HgPd | Alexandria | GGA-PBE | optimized geometry" e_above_lowest_polymorph_ev_per_atom=0.191 pbc="T T T"
Nd 0.9103 5.1100 5.3732
Nd -2.6996 4.2816 3.9954
Nd -4.6212 1.7436 6.2876
Nd -1.0380 2.4894 7.7775
Nd 3.2467 1.9638 5.5264
Nd -2.2848 -1.4026 6.4408
Nd 1.3251 -0.5742 7.8185
Nd -0.3365 1.2180 4.0365
Hg -3.3207 0.0978 3.9891
Hg 0.0000 0.0000 0.0000
Pd 1.9337 -0.4114 4.8629
Pd 0.0125 4.0209 2.9621


6
Lattice="-2.2454 -2.8027 -2.6640 -1.7576 -2.0059 3.5890 -5.6219 4.6503 -0.1540" Properties=species:S:1:pos:R:3 comment="NdHgPd | Alexandria | GGA-PBE | optimized geometry" e_tot_ev_per_atom=-3.9594 pbc="T T T"
Pd -6.1593 -1.6971 0.6968
Pd -4.1578 0.7072 0.2343
Hg -3.8473 -1.8796 -1.0585
Hg -6.4697 0.8898 1.9895
Nd -6.9470 0.6845 -1.1434
Nd -3.3700 -1.6742 2.0744


18
Lattice="3.9248 0.0000 0.0000 0.0000 7.9024 0.0000 0.0000 0.0000 13.6152" Properties=species:S:1:pos:R:3 comment="NdHgPd | Alexandria | GGA-PBE | optimized geometry" e_tot_ev_per_atom=-4.0906 pbc="T T T"
Nd 0.0000 1.9023 12.9360
Nd 0.0000 6.0001 6.1285
Nd 0.0000 1.9023 7.4867
Nd 0.0000 6.0001 0.6791
Nd 0.0000 6.6005 10.2114
Nd 0.0000 1.3019 3.4038
Hg 1.9624 4.5143 8.3269
Hg 1.9624 3.3881 5.2883
Hg 1.9624 1.4549 10.2114
Hg 1.9624 6.4475 3.4038
Hg 1.9624 4.5143 12.0958
Hg 1.9624 3.3881 1.5193
Pd 1.9624 0.4888 1.2814
Pd 0.0000 4.3754 3.4038
Pd 1.9624 0.4888 5.5262
Pd 1.9624 7.4136 12.3338
Pd 1.9624 7.4136 8.0889
Pd 0.0000 3.5270 10.2114


20
Lattice="-3.2308 -1.7055 4.4476 -8.1696 -2.6174 -3.2138 2.2436 -8.6446 2.0390" Properties=species:S:1:pos:R:3 comment="Nd2Hg3Pd5 | Alexandria | GGA-PBE | optimized geometry" e_tot_ev_per_atom=-4.0699 pbc="T T T"
Hg -1.1417 -5.4928 0.7886
Hg -0.8077 -0.4264 1.1119
Hg -3.3353 -8.3957 1.8062
Hg -8.0150 -7.4747 2.4843
Hg -5.8215 -4.5719 1.4666
Hg -2.4231 -1.2792 3.3357
Nd -5.6497 -2.6576 -1.3988
Nd -1.2040 -7.0186 3.8825
Nd -3.5071 -10.3099 4.6717
Nd -7.9528 -5.9489 -0.6097
Pd -10.2363 -6.5911 1.2096
Pd 1.0795 -6.3764 2.0633
Pd -4.4337 -8.4081 -0.8585
Pd -3.7707 -6.0574 0.5245
Pd -5.3861 -6.9102 2.7483
Pd -7.8478 -2.9969 0.5986
Pd -1.3090 -9.9706 2.6742
Pd -3.1077 -3.7067 1.9075
Pd -6.0491 -9.2608 1.3653
Pd -4.7231 -4.5595 4.1313


Ρ, record by record: 9.75 9.01 9.74 11.16 8.35 8.39 8.04 9.97 7.38 10.27 10.65 10.96 g/cm3